1.
## CeHfZnMo (PBE-GGA)

Data for a relaxed CeHfZnMo crystal.

```
data_CeHfZnMo
_cell_length_a 6.8642
_cell_length_b 6.8642
_cell_length_c 6.8642
_cell_angle_alpha 90.00
_cell_angle_beta 90.00
_cell_angle_gamma 90.00
_space_group_name_H-M_alt 'F -4 3 m'
_space_group_IT_number 216
_space_group_name_Hall 'F -4 2 3'
loop_
_atom_site_label
_atom_site_type_symbol
_atom_site_fract_x
_atom_site_fract_y
_atom_site_fract_z
_atom_site_occupancy
Ce1 Ce 0.0000 0.0000 0.0000 1
Hf1 Hf 0.0000 0.0000 0.5000 1
Zn1 Zn 0.2500 0.2500 0.2500 1
Mo1 Mo 0.2500 0.2500 0.7500 1
```

Summary:
- Total magnetization: 0.0 μB/cell
- ΔH_f (0 K): 0.14 eV per formula unit



2.
## CeHf2N4 (PBE-GGA)

Data for a relaxed CeHf2N4 crystal.

```
data_CeHf2N4
_cell_length_a 3.2229
_cell_length_b 10.6136
_cell_length_c 10.6236
_cell_angle_alpha 90.00
_cell_angle_beta 90.00
_cell_angle_gamma 90.00
_space_group_name_H-M_alt 'C m c m'
_space_group_IT_number 63
_space_group_name_Hall '-C 2c 2'
loop_
_atom_site_label
_atom_site_type_symbol
_atom_site_fract_x
_atom_site_fract_y
_atom_site_fract_z
_atom_site_occupancy
Ce1 Ce 0.0000 0.1094 0.2500 1
Hf1 Hf 0.0000 0.3666 0.0670 1
N1 N 0.0000 0.0000 0.0000 1
N2 N 0.0000 0.2663 0.6141 1
N3 N 0.0000 0.4574 0.2500 1
```

Summary:
- Raw formation energy: -1.62 eV/atom
- Total magnetization: 0.0 μB/cell